No. 1
Pr5Si2Au | GGA-PBE | optimized geometry

Output
E_tot in eV/atom: -5.330
Symmetry: I4/mcm
Raw formation energy in meV/atom: -577

Cell: 9.2791 9.2791 9.2791 Å, 130.69 130.69 72.30°
Fractional positions:
Pr1 0.0000 0.0000 0.0000
Pr2 0.0336 0.5336 0.8513
Pr3 0.1823 0.0336 0.5000
Pr4 0.3177 0.8177 0.8513
Pr5 0.4664 0.3177 0.5000
Pr6 0.5000 0.5000 0.0000
Pr7 0.5336 0.6823 0.5000
Pr8 0.6823 0.1823 0.1487
Pr9 0.8177 0.9664 0.5000
Pr10 0.9664 0.4664 0.1487
Si1 0.1141 0.3859 0.5000
Si2 0.3859 0.8859 0.2718
Si3 0.6141 0.1141 0.7282
Si4 0.8859 0.6141 0.5000
Au1 0.2500 0.2500 0.0000
Au2 0.7500 0.7500 0.0000


No. 2
Cs2H6PtAu | GGA-PBE | optimized geometry

Output
E_tot in eV/atom: -3.385
Symmetry: Fmmm

Cell: 6.8071 6.0283 6.0097 Å, 68.87 55.69 55.44°
Fractional positions:
Cs1 0.2500 0.2500 0.2500
Cs2 0.7500 0.7500 0.7500
H1 0.1724 0.1724 0.8276
H2 0.1733 0.8267 0.1733
H3 0.2473 0.7527 0.7527
H4 0.7527 0.2473 0.2473
H5 0.8267 0.1733 0.8267
H6 0.8276 0.8276 0.1724
Pt1 0.0000 0.0000 0.0000
Au1 0.5000 0.5000 0.5000


No. 3
Ba2CeCl6 | GGA-PBE | optimized geometry

Output
E_tot in eV/atom: -4.548
Symmetry: P4_2/mnm
Raw formation energy in meV/atom: -2230

Cell: 7.1401 7.1401 13.5876 Å, 90.00 90.00 90.00°
Fractional positions:
Ba1 0.0000 0.0000 0.1697
Ba2 0.0000 0.0000 0.8303
Ba3 0.5000 0.5000 0.3303
Ba4 0.5000 0.5000 0.6697
Ce1 0.0000 0.0000 0.5000
Ce2 0.5000 0.5000 0.0000
Cl1 0.1959 0.1959 0.3456
Cl2 0.1959 0.1959 0.6544
Cl3 0.2126 0.2126 0.0000
Cl4 0.2874 0.7126 0.5000
Cl5 0.3041 0.6959 0.1544
Cl6 0.3041 0.6959 0.8456
Cl7 0.6959 0.3041 0.1544
Cl8 0.6959 0.3041 0.8456
Cl9 0.7126 0.2874 0.5000
Cl10 0.7874 0.7874 0.0000
Cl11 0.8041 0.8041 0.3456
Cl12 0.8041 0.8041 0.6544


What did the second record say?
Cs2H6PtAu | GGA-PBE | optimized geometry

Output
E_tot in eV/atom: -3.385
Symmetry: Fmmm

Cell: 6.8071 6.0283 6.0097 Å, 68.87 55.69 55.44°
Fractional positions:
Cs1 0.2500 0.2500 0.2500
Cs2 0.7500 0.7500 0.7500
H1 0.1724 0.1724 0.8276
H2 0.1733 0.8267 0.1733
H3 0.2473 0.7527 0.7527
H4 0.7527 0.2473 0.2473
H5 0.8267 0.1733 0.8267
H6 0.8276 0.8276 0.1724
Pt1 0.0000 0.0000 0.0000
Au1 0.5000 0.5000 0.5000